Entry 1:
A plane-wave DFT calculation with PBE was carried out for crystalline LiNbRuRh at its relaxed geometry.

Summary:
As for the spin magnetization: 0.0 Bohr magnetons per cell. Its density of states at the Fermi level is 0.70 states/eV per atom. The formation energy comes out at -0.29 eV per atom.

Lattice parameters (Å, degrees): 4.340 4.340 4.340 60.00 60.00 60.00
Fractional coordinates of all 4 atoms:
Rh 0.500 0.500 0.500
Nb 0.250 0.250 0.250
Li 0.750 0.750 0.750
Ru 0.000 0.000 0.000



Entry 2:
A plane-wave DFT calculation with PBE was carried out for crystalline Li3NbRh2S6 at its relaxed geometry.

Summary:
As for the spin magnetization: 2.0 Bohr magnetons per cell. The uncorrected formation energy is -0.805 eV/atom. Its density of states at the Fermi level is 0.59 states/eV per atom.

Lattice parameters (Å, degrees): 6.245 6.245 6.298 99.24 99.24 121.29
Fractional coordinates of all 12 atoms:
Li 0.830 0.170 0.500
Li 0.170 0.830 0.500
Li 0.500 0.500 0.500
S 0.068 0.418 0.222
S 0.731 0.731 0.231
S 0.582 0.932 0.778
S 0.932 0.582 0.778
S 0.418 0.068 0.222
S 0.269 0.269 0.769
Rh 0.336 0.664 0.000
Rh 0.664 0.336 0.000
Nb 0.000 0.000 0.000



Entry 3:
A plane-wave DFT calculation with PBE was carried out for crystalline Li3NbRh2Se6 at its relaxed geometry.

Summary:
As for the spin magnetization: 2.0 Bohr magnetons per cell. The uncorrected formation energy is -0.694 eV/atom. Its density of states at the Fermi level is 0.67 states/eV per atom.

Lattice parameters (Å, degrees): 6.531 6.531 6.610 99.42 99.42 120.28
Fractional coordinates of all 12 atoms:
Se 0.728 0.728 0.228
Se 0.422 0.073 0.224
Se 0.578 0.927 0.776
Se 0.073 0.422 0.224
Se 0.272 0.272 0.772
Se 0.927 0.578 0.776
Li 0.833 0.167 0.500
Li 0.167 0.833 0.500
Li 0.500 0.500 0.500
Rh 0.334 0.666 0.000
Rh 0.666 0.334 0.000
Nb 0.000 0.000 0.000



Entry 4:
A plane-wave DFT calculation with PBE was carried out for crystalline Sr2LiNbRh at its relaxed geometry.

Summary:
As for the spin magnetization: 3.1 Bohr magnetons per cell. Its density of states at the Fermi level is 1.18 states/eV per atom. The formation energy comes out at 1.12 eV per atom.

Lattice parameters (Å, degrees): 5.391 5.391 4.748 90.00 90.00 90.00
Fractional coordinates of all 5 atoms:
Li 0.000 0.000 0.000
Rh 0.500 0.500 0.500
Sr 0.500 0.000 0.000
Sr 0.000 0.500 0.000
Nb 0.000 0.000 0.500



What is the spin magnetization in the second record? 2.0 Bohr magnetons per cell